## Li2W (PBEsol)

Data for crystalline Li2W at its relaxed geometry.

Cell lengths 4.584, 4.584, 2.442 Å; angles 90.00, 90.00, 120.00 degrees
Element x y z (fractional)
Li 0.333 0.667 0.000
Li 0.667 0.333 0.000
W 0.000 0.000 0.500

Results
Space group: P6/mmm
Energy relative to the elements in eV/atom: 0.797
Calculated volume in Å³ per cell: 44.4
Crystal system: hexagonal